A plane-wave DFT calculation with PBE-GGA was carried out for a geometry-optimized Y2Zn2P structure.

Output
DFT formation energy   -438 meV per atom
Final energy   -23.07 eV/f.u.
Space group   No. 127
Mass density   5365 kg/m³

Lattice parameters (Å, degrees): 6.911 6.911 4.401 90.00 90.00 90.00
Element x y z (fractional)
1 Y 0.172 0.672 0.500
2 Zn 0.128 0.372 0.000
3 Zn 0.872 0.628 0.000
4 P 0.000 0.000 0.000
5 Y 0.828 0.328 0.500
6 Y 0.672 0.828 0.500
7 P 0.500 0.500 0.000
8 Y 0.328 0.172 0.500
9 Zn 0.372 0.872 0.000
10 Zn 0.628 0.128 0.000

=====

A plane-wave DFT calculation with PBE-GGA was carried out for a geometry-optimized Sc2BeRh structure.

Output
DFT formation energy   -347 meV per atom
Final energy   -25.13 eV/f.u.
Space group   No. 119
Mass density   5349 kg/m³

Lattice parameters (Å, degrees): 4.480 4.480 4.480 120.95 120.95 88.36
Element x y z (fractional)
1 Be 0.500 0.500 0.000
2 Rh 0.750 0.250 0.500
3 Sc 0.250 0.750 0.500
4 Sc 0.000 0.000 0.000

=====

A plane-wave DFT calculation with PBE-GGA was carried out for a geometry-optimized Co2Re2I structure.

Output
Energy relative to the elements, uncorrected   90.15 kJ per mole of atoms
ΔE to the lowest computed polymorph   96 meV per atom
Final energy   -35.99 eV/f.u.
Space group   No. 139
Mass density   13103 kg/m³

Lattice parameters (Å, degrees): 3.499 3.499 6.850 75.20 75.20 90.00
Element x y z (fractional)
1 Co 0.750 0.250 0.500
2 Re 0.617 0.617 0.766
3 Co 0.250 0.750 0.500
4 Re 0.383 0.383 0.234
5 I 0.000 0.000 0.000

=====

A plane-wave DFT calculation with PBE-GGA was carried out for a geometry-optimized InPSe structure.

Output
Energy relative to the elements, uncorrected   28.30 kJ per mole of atoms
ΔE to the lowest computed polymorph   397 meV per atom
Final energy   -10.75 eV/f.u.
Space group   No. 42
Mass density   4804 kg/m³

Lattice parameters (Å, degrees): 7.614 6.983 3.834 84.12 65.82 30.06
Element x y z (fractional)
1 P 0.315 0.315 0.685
2 Se 0.695 0.695 0.305
3 In 0.990 0.990 0.010

=====

A plane-wave DFT calculation with PBE-GGA was carried out for a geometry-optimized KRb2NaAu structure.

Output
ΔE to the lowest computed polymorph   8 meV per atom
DFT formation energy   -87 meV per atom
Final energy   -8.06 eV/f.u.
Space group   No. 123
Mass density   2365 kg/m³

Lattice parameters (Å, degrees): 6.794 6.794 6.539 90.00 90.00 90.00
Element x y z (fractional)
1 K 0.000 0.000 0.500
2 Rb 0.000 0.500 0.000
3 Au 0.000 0.000 0.000
4 Na 0.500 0.500 0.500
5 Rb 0.500 0.000 0.000

=====

A plane-wave DFT calculation with PBE-GGA was carried out for a geometry-optimized YHg2I structure.

Output
Energy relative to the elements, uncorrected   -44.31 kJ per mole of atoms
ΔE to the lowest computed polymorph   53 meV per atom
Final energy   -10.45 eV/f.u.
Space group   No. 6
Mass density   8219 kg/m³

Lattice parameters (Å, degrees): 7.905 3.879 8.941 90.00 114.59 90.00
Element x y z (fractional)
1 Hg 0.928 0.500 0.357
2 I 0.261 0.000 0.055
3 Hg 0.760 0.000 0.079
4 Y 0.163 0.000 0.663
5 Y 0.608 0.000 0.375
6 I 0.860 0.500 0.705
7 Hg 0.499 0.500 0.845
8 Hg 0.344 0.500 0.458

=====

A plane-wave DFT calculation with PBE-GGA was carried out for a geometry-optimized YNb2TcO structure.

Output
Energy relative to the elements, uncorrected   -56.41 kJ per mole of atoms
Final energy   -44.85 eV/f.u.
Space group   No. 123
Mass density   7650 kg/m³

Lattice parameters (Å, degrees): 4.228 4.719 4.228 90.00 90.00 90.00
Element x y z (fractional)
1 Tc 0.500 0.500 0.500
2 Y 0.000 0.500 0.000
3 Nb 0.500 0.000 0.000
4 O 0.000 0.000 0.000
5 Nb 0.000 0.000 0.500

=====

A plane-wave DFT calculation with PBE-GGA was carried out for a geometry-optimized ZrZn2Se structure.

Output
Energy relative to the elements, uncorrected   -45.48 kJ per mole of atoms
Final energy   -16.47 eV/f.u.
Space group   No. 25
Mass density   6878 kg/m³

Lattice parameters (Å, degrees): 3.512 3.493 5.924 90.00 90.00 90.00
Element x y z (fractional)
1 Se 0.500 0.125 0.733
2 Zr 0.000 0.625 0.514
3 Zn 0.500 0.125 0.223
4 Zn 0.000 0.625 0.030